Density functional theory data (PBE) for a relaxed KNdNbInO6 crystal.

The structure in extended XYZ format:
```
10
Lattice="0.000 4.118 4.118 4.118 0.000 4.118 4.118 4.118 0.000" Properties=species:S:1:pos:R:3 pbc="T T T"
K 0.000 0.000 0.000
Nd 4.118 4.118 4.118
Nb 6.177 6.177 6.177
In 2.059 2.059 2.059
O 6.177 6.177 4.184
O 6.177 4.184 6.177
O 8.169 6.177 6.177
O 4.184 6.177 6.177
O 6.177 8.169 6.177
O 6.177 6.177 8.169
```

The uncorrected formation energy is -2284 meV per atom. The calculation puts the total moment at 0.0 μB per cell.

Density functional theory data (PBE) for a relaxed Si8HgC18 crystal.

The structure in extended XYZ format:
```
27
Lattice="5.479 0.000 0.000 -0.436 8.260 0.000 -1.042 -0.893 8.934" Properties=species:S:1:pos:R:3 pbc="T T T"
Si -0.134 0.465 2.133
Si 0.085 3.927 5.460
Si 1.241 1.974 3.288
Si 1.176 5.144 2.725
Si 2.825 2.223 6.209
Si 2.760 5.394 5.647
Si 3.917 3.440 3.475
Si 4.135 6.902 6.802
Hg 2.740 0.000 0.000
C -0.570 0.394 6.251
C 0.262 6.557 1.860
C 0.326 3.663 3.528
C 0.627 7.664 1.121
C 0.501 1.152 5.955
C 0.345 6.184 7.188
C 0.985 2.499 6.222
C 0.968 5.363 6.326
C 1.599 1.409 5.056
C 2.402 5.958 3.879
C 3.033 2.004 2.609
C 3.016 4.868 2.713
C 3.656 1.184 1.746
C 3.500 6.215 2.980
C 3.374 -0.297 7.814
C 3.675 3.704 5.407
C 3.739 0.811 7.075
C 4.571 6.973 2.684
```

The uncorrected formation energy is 717 meV per atom. The calculation puts the total moment at 0.0 μB per cell.

Density functional theory data (PBE) for a relaxed Sm3UTe6 crystal.

The structure in extended XYZ format:
```
20
Lattice="6.045 -7.536 0.000 6.045 7.536 0.000 0.000 0.000 7.742" Properties=species:S:1:pos:R:3 pbc="T T T"
Sm 6.045 6.141 3.871
Sm 3.808 1.564 2.968
Sm 3.808 -1.564 6.839
Sm 8.283 1.564 2.968
Sm 8.283 -1.564 6.839
Sm 6.045 -6.141 0.000
U 6.045 2.488 6.724
U 6.045 -2.488 2.853
Te 3.984 4.036 5.113
Te 2.022 0.568 5.418
Te 2.022 -0.568 1.547
Te 6.045 3.528 1.877
Te 8.107 4.036 5.113
Te 6.045 0.063 4.793
Te 6.045 -0.063 0.922
Te 3.984 -4.036 1.241
Te 6.045 -3.528 5.748
Te 10.069 0.568 5.418
Te 10.069 -0.568 1.547
Te 8.107 -4.036 1.241
```

The uncorrected formation energy is -1108 meV per atom. The calculation puts the total moment at 6.0 μB per cell.